! MoAsPS2 SCAN PBEsol geometry; values from VASP
! - Raw formation energy: 510 meV/atom
! - Size of the total moment: 1.31 μB/f.u.
! - Total energy: -16.44 eV per atom
&SYSTEM
  ibrav = 0, nat = 5, ntyp = 4
/
ATOMIC_SPECIES
S 32.06 S.upf
P 30.97 P.upf
Mo 95.94 Mo.upf
As 74.92 As.upf
CELL_PARAMETERS angstrom
-1.279 -3.502 2.506
1.740 -2.811 -3.041
4.301 0.115 2.355
ATOMIC_POSITIONS angstrom
S 0.870 -1.406 -1.520
S -0.639 -1.751 1.253
P 2.150 0.057 1.178
Mo 0.000 0.000 0.000
As 2.381 -3.099 0.910